Computed, not measured: a crystal of LaCuOs2 relaxed with PBEsol at the SCAN level of DFT.

The value obtained for the energy relative to the elements is 628 meV per atom. The total moment is 0.00 μB per cell. As for the total energy: -199.552 eV/f.u.

Lattice parameters (Å, degrees): 3.1280 3.1280 7.0179 90.00 90.00 90.00
Element x y z (fractional)
1 La 0.0000 0.0000 0.0000
2 Cu 0.0000 0.0000 0.5000
3 Os 0.5000 0.5000 0.3207
4 Os 0.5000 0.5000 0.6793